A relaxed HoCu4Ni4 crystal, computed with PBE.

Properties
The space group is I4/mmm. The calculated formation energy is -0.052 eV/atom.

```
HoCu4Ni4
1.0
3.7728 0.0000 0.0000
0.0000 7.8504 0.0000
0.0000 0.0000 7.8504
Ni Cu Ho
8 8 2
direct
0.5001 0.1553 0.5000
0.4999 0.5000 0.1553
0.9999 0.6553 0.0000
0.4999 0.5000 0.8447
0.9999 0.3447 0.0000
0.5001 0.8447 0.5000
0.0001 0.0000 0.6553
0.0001 0.0000 0.3447
0.5000 0.1802 0.8197
0.0000 0.6803 0.6802
0.5000 0.8197 0.8198
0.5000 0.1803 0.1802
0.0000 0.3197 0.3198
0.0000 0.6802 0.3197
0.0000 0.3198 0.6803
0.5000 0.8198 0.1803
0.5000 0.5000 0.5000
0.0000 0.0000 0.0000
```